No. 1
The following is a DFT calculation (PBE) of a relaxed TbPm4Er2Tm2 crystal.

Cell lengths 7.9898, 7.9898, 7.9917 Å; angles 107.36, 107.36, 36.75 degrees
Sites, in units of the cell vectors:
Tb  0.0000  0.0000  0.0000
Pm  0.2230  0.2230  0.3322
Pm  0.4460  0.4460  0.6694
Pm  0.5540  0.5540  0.3306
Pm  0.7770  0.7770  0.6678
Er  0.1114  0.1114  0.6689
Er  0.8886  0.8886  0.3311
Tm  0.3323  0.3323  0.0001
Tm  0.6677  0.6677  0.9999

Values from the calculation:
Formation energy from the elements: 0.021 eV/atom
Symmetry: No. 12
V: 289.8 Å³ per cell
Final energy: -0.33902 Ry/atom
DOS(E_F): 12.8 states/eV/f.u.
Spin magnetization: 0.000 μB/cell

=====

No. 2
The following is a DFT calculation (PBE) of a relaxed Tb5PmEr2Tm crystal.

Cell lengths 10.3381, 10.3381, 10.5932 Å; angles 90.00, 90.00, 148.70 degrees
Sites, in units of the cell vectors:
Tb  0.0173  0.9827  0.5000
Tb  0.2818  0.7182  0.7817
Tb  0.3001  0.6999  0.1819
Tb  0.3929  0.6071  0.4993
Tb  0.4792  0.5208  0.2147
Tb  0.5208  0.4792  0.7147
Tb  0.6071  0.3929  0.9993
Tb  0.6999  0.3001  0.6819
Tb  0.7182  0.2818  0.2817
Tb  0.9827  0.0173  0.0000
Pm  0.2008  0.7992  0.4860
Pm  0.7992  0.2008  0.9860
Er  0.1089  0.8911  0.2139
Er  0.1141  0.8859  0.7930
Er  0.8859  0.1141  0.2930
Er  0.8911  0.1089  0.7139
Tm  0.4126  0.5874  0.9324
Tm  0.5874  0.4126  0.4324

Values from the calculation:
Formation energy from the elements: 0.153 eV/atom
Symmetry: No. 36
V: 588.2 Å³ per cell
Final energy: -0.32765 Ry/atom
DOS(E_F): 14.2 states/eV/f.u.
Spin magnetization: 0.000 μB/cell

=====

No. 3
The following is a DFT calculation (PBE) of a relaxed TbPmErTm2 crystal.

Cell lengths 8.8766, 8.8766, 6.3330 Å; angles 90.00, 90.00, 138.17 degrees
Sites, in units of the cell vectors:
Tb  0.1559  0.8441  0.7500
Tb  0.8441  0.1559  0.2500
Pm  0.3422  0.6578  0.7500
Pm  0.6578  0.3422  0.2500
Er  0.2526  0.7474  0.2500
Er  0.7474  0.2526  0.7500
Tm  0.2502  0.2502  0.0000
Tm  0.2502  0.2502  0.5000
Tm  0.7498  0.7498  0.0000
Tm  0.7498  0.7498  0.5000

Values from the calculation:
Formation energy from the elements: 0.363 eV/atom
Symmetry: No. 63
V: 332.8 Å³ per cell
Final energy: -0.30978 Ry/atom
DOS(E_F): 8.4 states/eV/f.u.
Spin magnetization: 0.001 μB/cell

=====

Which value of formation energy from the elements does entry 3 give? 0.363 eV/atom

=====

What is the formula in the third record? TbPmErTm2